Entry 1:
The following is a DFT calculation (GGA-PBE) of crystalline TiMnSb at its relaxed geometry.

Computed properties:
- Crystal system: hexagonal
- Total energy: -43.5 eV for the cell shown
- Magnetization: 0.73 μB per atom
- Fermi-level density of states: 1.0959 states/eV/atom
- V: 16.8 Å³/atom

Cell and atoms, written as CIF:
```
data_TiMnSb
_symmetry_space_group_name_H-M 'P 63/m m c'
_symmetry_Int_Tables_number 194
_symmetry_space_group_name_Hall '-P 6c 2c'
_cell_length_a 4.5614
_cell_length_b 4.5614
_cell_length_c 5.6034
_cell_angle_alpha 90.00
_cell_angle_beta 90.00
_cell_angle_gamma 120.00
loop_
_atom_site_label
_atom_site_type_symbol
_atom_site_fract_x
_atom_site_fract_y
_atom_site_fract_z
Ti1 Ti 0.0000 0.0000 0.0000
Mn1 Mn 0.3333 0.6667 0.2500
Sb1 Sb 0.3333 0.6667 0.7500
```

Entry 2:
The following is a DFT calculation (GGA-PBE) of crystalline Cu2IrAu at its relaxed geometry.

Computed properties:
- ΔE_f: 0.137 eV/atom
- Crystal system: orthorhombic
- Magnetization: 0.00 μB per atom
- Fermi-level density of states: 0.9131 states/eV/atom
- V: 14.3 Å³/atom

Cell and atoms, written as CIF:
```
data_Cu2IrAu
_symmetry_space_group_name_H-M 'P m m m'
_symmetry_Int_Tables_number 47
_cell_length_a 2.735
_cell_length_b 3.673
_cell_length_c 5.675
_cell_angle_alpha 90.00
_cell_angle_beta 90.00
_cell_angle_gamma 90.00
loop_
_symmetry_equiv_pos_as_xyz
'x,y,z'
'-x,-y,-z'
'-x,-y,z'
'x,y,-z'
'x,-y,-z'
'-x,y,z'
'-x,y,-z'
'x,-y,z'
loop_
_atom_site_label
_atom_site_type_symbol
_atom_site_fract_x
_atom_site_fract_y
_atom_site_fract_z
Cu1 Cu 0.000 0.000 0.232
Ir1 Ir 0.500 0.500 0.000
Au1 Au 0.500 0.500 0.500
```

Entry 3:
The following is a DFT calculation (GGA-PBE) of crystalline PmNdHo2 at its relaxed geometry.

Computed properties:
- ΔE_f: 0.014 eV/atom
- Crystal system: monoclinic
- Magnetization: 0.00 μB per atom
- Fermi-level density of states: 1.2421 states/eV/atom
- Energy above the most stable polymorph in this dataset: 0.1 kJ/mol of atoms
- V: 32.7 Å³/atom

Cell and atoms, written as CIF:
```
data_PmNdHo2
_symmetry_space_group_name_H-M 'P 1 21/m 1'
_symmetry_Int_Tables_number 11
_cell_length_a 7.156
_cell_length_b 3.597
_cell_length_c 10.165
_cell_angle_alpha 90.00
_cell_angle_beta 90.61
_cell_angle_gamma 90.00
loop_
_symmetry_equiv_pos_as_xyz
'x,y,z'
'-x,-y,-z'
'-x,y+1/2,-z'
'x,-y+1/2,z'
loop_
_atom_site_label
_atom_site_type_symbol
_atom_site_fract_x
_atom_site_fract_y
_atom_site_fract_z
Pm1 Pm 0.125 0.250 0.376
Nd1 Nd 0.375 0.750 0.125
Ho1 Ho 0.125 0.250 0.875
Ho2 Ho 0.375 0.750 0.625
```

> Which value of V does entry 3 give?

32.7 Å³/atom

Repeat the first record exactly.
The following is a DFT calculation (GGA-PBE) of crystalline TiMnSb at its relaxed geometry.

Computed properties:
- Crystal system: hexagonal
- Total energy: -43.5 eV for the cell shown
- Magnetization: 0.73 μB per atom
- Fermi-level density of states: 1.0959 states/eV/atom
- V: 16.8 Å³/atom

Cell and atoms, written as CIF:
```
data_TiMnSb
_symmetry_space_group_name_H-M 'P 63/m m c'
_symmetry_Int_Tables_number 194
_symmetry_space_group_name_Hall '-P 6c 2c'
_cell_length_a 4.5614
_cell_length_b 4.5614
_cell_length_c 5.6034
_cell_angle_alpha 90.00
_cell_angle_beta 90.00
_cell_angle_gamma 120.00
loop_
_atom_site_label
_atom_site_type_symbol
_atom_site_fract_x
_atom_site_fract_y
_atom_site_fract_z
Ti1 Ti 0.0000 0.0000 0.0000
Mn1 Mn 0.3333 0.6667 0.2500
Sb1 Sb 0.3333 0.6667 0.7500
```

> Which of these has the highest magnetization?

TiMnSb

Copy entry 2 word for word.
The following is a DFT calculation (GGA-PBE) of crystalline Cu2IrAu at its relaxed geometry.

Computed properties:
- ΔE_f: 0.137 eV/atom
- Crystal system: orthorhombic
- Magnetization: 0.00 μB per atom
- Fermi-level density of states: 0.9131 states/eV/atom
- V: 14.3 Å³/atom

Cell and atoms, written as CIF:
```
data_Cu2IrAu
_symmetry_space_group_name_H-M 'P m m m'
_symmetry_Int_Tables_number 47
_cell_length_a 2.735
_cell_length_b 3.673
_cell_length_c 5.675
_cell_angle_alpha 90.00
_cell_angle_beta 90.00
_cell_angle_gamma 90.00
loop_
_symmetry_equiv_pos_as_xyz
'x,y,z'
'-x,-y,-z'
'-x,-y,z'
'x,y,-z'
'x,-y,-z'
'-x,y,z'
'-x,y,-z'
'x,-y,z'
loop_
_atom_site_label
_atom_site_type_symbol
_atom_site_fract_x
_atom_site_fract_y
_atom_site_fract_z
Cu1 Cu 0.000 0.000 0.232
Ir1 Ir 0.500 0.500 0.000
Au1 Au 0.500 0.500 0.500
```